# UFeSi2Tc

Crystalline UFeSi2Tc at its relaxed geometry (PBE, Alexandria via LeMat-Bulk).

Structure (POSCAR):
```
UFeSi2Tc
1.0
4.081 0.000 0.000
0.000 4.081 0.000
-2.040 -2.040 4.769
Fe Si U Tc
1 2 1 1
direct
0.250 0.750 0.500
0.374 0.374 0.748
0.626 0.626 0.252
0.000 0.000 0.000
0.750 0.250 0.500
```

Calculated values
Its total energy is -43.25 eV per cell.

---

# Tl4BiBr6

Crystalline Tl4BiBr6 at its relaxed geometry (PBE, Alexandria via LeMat-Bulk).

Structure (POSCAR):
```
Tl4BiBr6
1.0
-6.959 -5.832 -0.554
4.897 -6.263 4.420
-3.328 3.191 8.209
Tl Br Bi
8 12 2
direct
0.841 0.341 0.750
0.159 0.659 0.750
0.341 0.159 0.750
0.659 0.841 0.750
0.159 0.659 0.250
0.659 0.841 0.250
0.341 0.159 0.250
0.841 0.341 0.250
0.179 0.369 0.000
0.631 0.179 0.000
0.821 0.631 0.000
0.869 0.679 0.500
0.369 0.821 0.000
0.679 0.131 0.500
0.500 0.500 0.304
0.000 0.000 0.196
0.500 0.500 0.696
0.000 0.000 0.804
0.131 0.321 0.500
0.321 0.869 0.500
0.000 0.000 0.500
0.500 0.500 0.000
```

Calculated values
Its total energy is -61.95 eV per cell.

---

# AcPm2Ho2

Crystalline AcPm2Ho2 at its relaxed geometry (PBE, Alexandria via LeMat-Bulk).

Structure (POSCAR):
```
AcPm2Ho2
1.0
5.514 0.446 3.573
-1.285 5.558 3.289
-3.944 -5.264 -0.325
Pm Ho Ac
2 2 1
direct
0.142 0.142 0.000
0.858 0.858 0.000
0.250 0.750 0.500
0.750 0.250 0.500
0.500 0.500 0.000
```

Calculated values
For the energy above the most stable polymorph in this dataset, the calculation gives 0.3433 eV per atom. The formation enthalpy at 0 K comes out at 2.079 eV per formula unit. Its total energy is -20.69 eV per cell.